Entry 1:
ThZnRu GGA-PBE optimized geometry; space group = C2/m; energy relative to the elements = -0.405 eV per atom; magnetization = 0.000 μB per formula unit
1.0
-1.905 -0.727 -3.239
2.796 -3.028 -3.227
-2.823 -6.315 0.815
Zn Th Ru
2 2 2
Cartesian
-2.005 -8.589 -3.679
0.073 -1.480 -1.972
-0.378 -5.135 -5.411
-1.555 -4.934 -0.240
-0.768 -6.470 -2.620
-1.165 -3.599 -3.031



Entry 2:
SrMgSi2Te GGA-PBE optimized geometry; formation energy (no corrections) = 1.35 eV/atom; space group = P4/mmm; magnetization = 0.000 μB per formula unit
1.0
-1.911 -3.188 4.203
5.548 -0.510 2.136
-0.782 4.592 3.128
Mg Sr Si Te
1 1 2 1
Cartesian
2.774 -0.255 1.068
0.000 0.000 0.000
-0.391 2.296 1.564
-0.956 -1.594 2.102
1.428 0.447 4.734



Entry 3:
TcPtO3 GGA-PBE optimized geometry; formation energy (no corrections) = 0.41 eV/atom; space group = Pm-3m; magnetization = 4.535 μB per formula unit
1.0
-1.739 0.036 -3.563
-0.412 -3.941 0.162
-3.540 0.441 1.732
Tc Pt O
1 1 3
Cartesian
-2.846 -1.732 -0.835
0.000 0.000 0.000
-0.206 -1.970 0.081
-1.770 0.221 0.866
-0.870 0.018 -1.782